1.
Below is Sm3Tl6Cd2 after structural relaxation, with properties calculated at the GGA-PBE level.

Calculated values
**Mass density**: 9.73 g/cm³
**DOS(E_F)**: 7.0 states/eV per cell
**E_form**: -1.6 eV/f.u.

a b c (Å): 16.0963 16.0963 16.0963
angles (deg): 163.80 163.80 22.99
Last column: nearest neighbours and their distance in Å.
Fractional coordinates of all 11 atoms:
Sm: 0.0000 0.0000 0.0000  8 Tl 3.26
Sm: 0.1617 0.1617 0.0000  5 Tl 3.25-3.57, 4 Cd 3.27
Sm: 0.8383 0.8383 0.0000  5 Tl 3.25-3.57, 4 Cd 3.27
Tl: 0.0741 0.5741 0.5000  2 Cd 3.12, 4 Tl 3.21, 2 Sm 3.26
Tl: 0.2647 0.2647 0.0000  1 Cd 2.94, 1 Sm 3.25
Tl: 0.4259 0.9259 0.5000  2 Cd 3.12, 4 Tl 3.21, 2 Sm 3.26
Tl: 0.5741 0.0741 0.5000  2 Cd 3.12, 4 Tl 3.21, 2 Sm 3.26
Tl: 0.7353 0.7353 0.0000  1 Cd 2.94, 1 Sm 3.25
Tl: 0.9259 0.4259 0.5000  2 Cd 3.12, 4 Tl 3.21, 2 Sm 3.26
Cd: 0.3579 0.3579 0.0000  5 Tl 2.94-3.12, 4 Sm 3.27
Cd: 0.6421 0.6421 0.0000  5 Tl 2.94-3.12, 4 Sm 3.27


2.
Below is KP4Os after structural relaxation, with properties calculated at the GGA-PBE level.

Calculated values
**Mass density**: 4.99 g/cm³
**DOS(E_F)**: 3.1 states/eV per cell
**E_form**: 5.8 eV/f.u.

a b c (Å): 5.4991 5.4991 5.4991
angles (deg): 60.00 60.00 60.00
Last column: nearest neighbours and their distance in Å.
Fractional coordinates of all 6 atoms:
K: 0.0000 0.0000 0.0000  12 P 3.28, 4 Os 3.37
P: 0.3959 0.3959 0.3959  3 P 2.29
P: 0.3959 0.3959 0.8123  3 P 2.29
P: 0.3959 0.8123 0.3959  3 P 2.29
P: 0.8123 0.3959 0.3959  3 P 2.29
Os: 0.7500 0.7500 0.7500  12 P 3.19, 4 K 3.37


3.
Below is TmCo3B2 after structural relaxation, with properties calculated at the GGA-PBE level.

Calculated values
**Mass density**: 9.49 g/cm³
**DOS(E_F)**: 3.7 states/eV per cell
**E_form**: -3.2 eV/f.u.
**Energy above the lowest structure with this stoichiometry**: 0.0 meV per atom

a b c (Å): 4.9612 4.9612 3.0148
angles (deg): 90.00 90.00 120.00
Last column: nearest neighbours and their distance in Å.
Fractional coordinates of all 6 atoms:
Tm: 0.0000 0.0000 0.0000  6 B 2.86, 12 Co 2.90, 2 Tm 3.01
Co: 0.0000 0.5000 0.5000  4 B 2.08
Co: 0.5000 0.0000 0.5000  4 B 2.08
Co: 0.5000 0.5000 0.5000  4 B 2.08
B: 0.3333 0.6667 0.0000  6 Co 2.08
B: 0.6667 0.3333 0.0000  6 Co 2.08


4.
Below is Tb3SmMg8 after structural relaxation, with properties calculated at the GGA-PBE level.

Calculated values
**Mass density**: 4.33 g/cm³
**DOS(E_F)**: 14.1 states/eV per cell
**E_form**: -0.9 eV/f.u.

a b c (Å): 6.0913 6.0913 9.8029
angles (deg): 90.00 90.00 120.00
Last column: nearest neighbours and their distance in Å.
Fractional coordinates of all 12 atoms:
Tb: 0.0000 0.0000 0.0000  12 Mg 3.51-3.57, 4 Tb 3.63-3.73
Tb: 0.0000 0.0000 0.3706  12 Mg 3.54-3.58, 1 Tb 3.63, 3 Sm 3.74
Tb: 0.3333 0.6667 0.8738  12 Mg 3.51-3.57, 1 Sm 3.65, 3 Tb 3.73
Sm: 0.3333 0.6667 0.5014  12 Mg 3.54-3.57, 4 Tb 3.65-3.74
Mg: 0.0075 0.5037 0.1858  6 Mg 2.98-3.11
Mg: 0.3247 0.1624 0.6871  6 Mg 2.97-3.12
Mg: 0.4963 0.5037 0.1858  6 Mg 2.98-3.11
Mg: 0.4963 0.9925 0.1858  6 Mg 2.98-3.11
Mg: 0.6667 0.3333 0.4365  6 Mg 3.04-3.05
Mg: 0.6667 0.3333 0.9365  6 Mg 3.03-3.04
Mg: 0.8376 0.1624 0.6871  6 Mg 2.97-3.12
Mg: 0.8376 0.6753 0.6871  6 Mg 2.97-3.12


5.
Below is RbNaZn2In after structural relaxation, with properties calculated at the GGA-PBE level.

Calculated values
**Mass density**: 3.31 g/cm³
**DOS(E_F)**: 2.1 states/eV per cell
**E_form**: 0.7 eV/f.u.

a b c (Å): 5.4523 5.4523 5.9842
angles (deg): 90.00 90.00 90.00
Last column: nearest neighbours and their distance in Å.
Fractional coordinates of all 5 atoms:
Rb: 0.0000 0.0000 0.0000  4 Na 3.86, 8 Zn 4.05
Na: 0.5000 0.5000 0.0000  2 In 2.99
Zn: 0.0000 0.5000 0.5000  2 In 2.73
Zn: 0.5000 0.0000 0.5000  2 In 2.73
In: 0.5000 0.5000 0.5000  4 Zn 2.73, 2 Na 2.99


6.
Below is CuTc2Ir after structural relaxation, with properties calculated at the GGA-PBE level.

Calculated values
**Mass density**: 13.25 g/cm³
**DOS(E_F)**: 3.9 states/eV per cell
**E_form**: 1.0 eV/f.u.
**Energy above the lowest structure with this stoichiometry**: 201.1 meV per atom

a b c (Å): 4.3106 4.3106 4.3106
angles (deg): 60.00 60.00 60.00
Last column: nearest neighbours and their distance in Å.
Fractional coordinates of all 4 atoms:
Cu: 0.0000 0.0000 0.0000  4 Tc 2.64, 4 Ir 2.64
Tc: 0.5000 0.5000 0.5000  4 Tc 2.64, 4 Ir 2.64
Tc: 0.7500 0.7500 0.7500  4 Tc 2.64, 4 Cu 2.64
Ir: 0.2500 0.2500 0.2500  4 Tc 2.64, 4 Cu 2.64


7.
Below is KRb6Na2H after structural relaxation, with properties calculated at the GGA-PBE level.

Calculated values
**Mass density**: 1.57 g/cm³
**DOS(E_F)**: 6.1 states/eV per cell

a b c (Å): 8.4390 8.5195 10.6281
angles (deg): 108.25 97.49 114.16
Last column: nearest neighbours and their distance in Å.
Fractional coordinates of all 10 atoms:
K: 0.0000 0.0000 0.0000  6 Rb 4.46-4.63, 2 Na 4.75-4.77
Rb: 0.1700 0.6179 0.2601  1 H 3.22
Rb: 0.2709 0.2053 0.4686  1 H 3.14
Rb: 0.3611 0.9285 0.7414  1 H 3.08
Rb: 0.6386 0.0706 0.2586  1 H 3.08
Rb: 0.7288 0.7942 0.5313  1 H 3.14
Rb: 0.8294 0.3817 0.7400  1 H 3.22
Na: 0.3834 0.5306 0.8777  1 Na 3.36
Na: 0.6155 0.4678 0.1221  1 Na 3.36
H: 0.4998 0.9997 0.4999  6 Rb 3.08-3.22


8.
Below is YHfP2S after structural relaxation, with properties calculated at the GGA-PBE level.

Calculated values
**Mass density**: 4.63 g/cm³
**ΔE_f (raw)**: 0.4303 eV/atom
**DOS(E_F)**: 4.0 states/eV per cell
**Energy above the lowest structure with this stoichiometry**: 1081.1 meV per atom

a b c (Å): 5.1004 5.1004 4.9829
angles (deg): 90.00 90.00 90.00
Last column: nearest neighbours and their distance in Å.
Fractional coordinates of all 5 atoms:
Y: 0.0000 0.0000 0.0000  2 S 2.49, 4 P 2.55
Hf: 0.5000 0.5000 0.5000  8 P 3.57, 4 S 3.61
P: 0.0000 0.5000 0.0000  2 Y 2.55
P: 0.5000 0.0000 0.0000  2 Y 2.55
S: 0.0000 0.0000 0.5000  2 Y 2.49


Calculated total energy for every record listed, in sequence, given in eV/cell: -31.8, -28.2, -42.3, -32.3, -6.9, -32.7, -12.6, -29.2.